(1)
A plane-wave DFT calculation with PBE-GGA was carried out for crystalline CsTl4Hg2Bi at its relaxed geometry.

Output
Crystal system   trigonal
DFT formation energy   -10.05 kJ/mol of atoms
Space-group type   R-3m, No. 166
D(E_F)   0.256 states/eV per atom

a b c (Å): 5.455 5.455 11.726
angles (deg): 76.55 76.55 60.00
Fractional positions:
Cs (0.000, 0.000, 0.000)
Tl (0.593, 0.593, 0.220)
Tl (0.870, 0.870, 0.391)
Tl (0.130, 0.130, 0.609)
Tl (0.407, 0.407, 0.780)
Bi (0.500, 0.500, 0.500)
Hg (0.748, 0.748, 0.757)
Hg (0.252, 0.252, 0.243)

(2)
A plane-wave DFT calculation with PBE-GGA was carried out for crystalline ReIr2Pt at its relaxed geometry.

Output
Crystal system   tetragonal
DFT formation energy   -4.90 kJ/mol of atoms
Space-group type   P4mm, No. 99
Energy above the lowest structure with this stoichiometry   0.0991 eV per atom
D(E_F)   1.083 states/eV per atom

a b c (Å): 2.737 2.737 7.924
angles (deg): 90.00 90.00 90.00
Fractional positions:
Pt (0.000, 0.000, 0.505)
Ir (0.000, 0.000, 0.995)
Ir (0.500, 0.500, 0.244)
Re (0.500, 0.500, 0.756)

> D(E_F) of number 2 (ReIr2Pt)?

1.083 states/eV per atom

> Among the records above, which one has the highest D(E_F)?

ReIr2Pt